# 1
Computed, not measured: a geometry-optimized AlBiPt structure at the PBE level of DFT.

The structure in CIF format:
```
data_AlBiPt
_chemical_formula_sum 'Al2 Bi2 Pt2'
_space_group_name_H-M_alt 'P 4/n m m'
_space_group_IT_number 129
_cell_length_a 4.0875
_cell_length_b 4.0875
_cell_length_c 7.3774
_cell_angle_alpha 90.00
_cell_angle_beta 90.00
_cell_angle_gamma 90.00
loop_
_space_group_symop_operation_xyz
'x,y,z'
'-x,-y,-z'
'-y+1/2,x,z'
'y+1/2,-x,-z'
'-x+1/2,-y+1/2,z'
'x+1/2,y+1/2,-z'
'y,-x+1/2,z'
'-y,x+1/2,-z'
'x+1/2,-y,-z'
'-x+1/2,y,z'
'-y,-x,-z'
'y,x,z'
'-x,y+1/2,-z'
'x,-y+1/2,z'
'y+1/2,x+1/2,-z'
'-y+1/2,-x+1/2,z'
loop_
_atom_site_label
_atom_site_type_symbol
_atom_site_fract_x
_atom_site_fract_y
_atom_site_fract_z
Al1 Al 0.2500 0.7500 0.0000
Bi1 Bi 0.2500 0.2500 0.3710
Pt1 Pt 0.2500 0.2500 0.7942
```

Computed properties:
* calculated volume: 20.5 A^3/atom
* total moment: 0.00 μB/f.u.
* formation energy: -0.5895 eV/atom
* DOS at the Fermi energy: 1.54 states/eV/f.u.


# 2
Computed, not measured: a geometry-optimized AlBi2Pt2 structure at the PBE level of DFT.

The structure in CIF format:
```
data_AlBi2Pt2
_chemical_formula_sum 'Al2 Bi4 Pt4'
_space_group_name_H-M_alt 'P 4/m b m'
_space_group_IT_number 127
_space_group_name_Hall '-P 4 2ab'
_cell_length_a 6.6035
_cell_length_b 6.6035
_cell_length_c 5.0097
_cell_angle_alpha 90.00
_cell_angle_beta 90.00
_cell_angle_gamma 90.00
loop_
_atom_site_label
_atom_site_type_symbol
_atom_site_fract_x
_atom_site_fract_y
_atom_site_fract_z
Al1 Al 0.0000 0.0000 0.0000
Bi1 Bi 0.1831 0.3169 0.5000
Pt1 Pt 0.1476 0.6476 0.0000
```

Computed properties:
* calculated volume: 21.8 A^3/atom
* total moment: 0.00 μB/f.u.
* formation energy: -0.2412 eV/atom
* DOS at the Fermi energy: 2.71 states/eV/f.u.


# 3
Computed, not measured: a geometry-optimized AlBiPt2 structure at the PBE level of DFT.

The structure in CIF format:
```
data_AlBiPt2
_chemical_formula_sum 'Al4 Bi4 Pt8'
_space_group_name_H-M_alt 'I -4 2 d'
_space_group_IT_number 122
_space_group_name_Hall 'I -4 2bw'
_cell_length_a 4.4378
_cell_length_b 4.4378
_cell_length_c 16.9312
_cell_angle_alpha 90.00
_cell_angle_beta 90.00
_cell_angle_gamma 90.00
loop_
_atom_site_label
_atom_site_type_symbol
_atom_site_fract_x
_atom_site_fract_y
_atom_site_fract_z
Al1 Al 0.0000 0.0000 0.0000
Bi1 Bi 0.0000 0.0000 0.5000
Pt1 Pt 0.2073 0.2500 0.1250
```

Computed properties:
* calculated volume: 20.8 A^3/atom
* total moment: 0.00 μB/f.u.
* formation energy: -0.1899 eV/atom
* E above lowest polymorph: 349 meV per atom
* DOS at the Fermi energy: 1.50 states/eV/f.u.


# 4
Computed, not measured: a geometry-optimized AlBiPt3 structure at the PBE level of DFT.

The structure in CIF format:
```
data_AlBiPt3
_chemical_formula_sum 'Al1 Bi1 Pt3'
_space_group_name_H-M_alt 'P m -3 m'
_space_group_IT_number 221
_space_group_name_Hall '-P 4 2 3'
_cell_length_a 5.0953
_cell_length_b 5.0953
_cell_length_c 5.0953
_cell_angle_alpha 90.00
_cell_angle_beta 90.00
_cell_angle_gamma 90.00
loop_
_atom_site_label
_atom_site_type_symbol
_atom_site_fract_x
_atom_site_fract_y
_atom_site_fract_z
Al1 Al 0.0000 0.0000 0.0000
Bi1 Bi 0.5000 0.5000 0.5000
Pt1 Pt 0.0000 0.5000 0.5000
```

Computed properties:
* calculated volume: 26.5 A^3/atom
* total moment: 0.00 μB/f.u.
* formation energy: 1.0792 eV/atom
* E above lowest polymorph: 1041 meV per atom
* DOS at the Fermi energy: 5.65 states/eV/f.u.


# 5
Computed, not measured: a geometry-optimized Al2BiPt2 structure at the PBE level of DFT.

The structure in CIF format:
```
data_Al2BiPt2
_chemical_formula_sum 'Al4 Bi2 Pt4'
_space_group_name_H-M_alt 'P 4/m b m'
_space_group_IT_number 127
_space_group_name_Hall '-P 4 2ab'
_cell_length_a 7.8350
_cell_length_b 7.8350
_cell_length_c 2.9034
_cell_angle_alpha 90.00
_cell_angle_beta 90.00
_cell_angle_gamma 90.00
loop_
_atom_site_label
_atom_site_type_symbol
_atom_site_fract_x
_atom_site_fract_y
_atom_site_fract_z
Al1 Al 0.1428 0.3572 0.0000
Bi1 Bi 0.0000 0.0000 0.5000
Pt1 Pt 0.1450 0.6450 0.5000
```

Computed properties:
* calculated volume: 17.8 A^3/atom
* total moment: 0.00 μB/f.u.
* formation energy: -0.5992 eV/atom
* E above lowest polymorph: 0 meV per atom
* DOS at the Fermi energy: 2.06 states/eV/f.u.


# 6
Computed, not measured: a geometry-optimized Al2BiPt2 structure at the PBE level of DFT.

The structure in CIF format:
```
data_Al2BiPt2
_chemical_formula_sum 'Al4 Bi2 Pt4'
_space_group_name_H-M_alt 'I 4/m m m'
_space_group_IT_number 139
_space_group_name_Hall '-I 4 2'
_cell_length_a 4.1616
_cell_length_b 4.1616
_cell_length_c 11.0254
_cell_angle_alpha 90.00
_cell_angle_beta 90.00
_cell_angle_gamma 90.00
loop_
_atom_site_label
_atom_site_type_symbol
_atom_site_fract_x
_atom_site_fract_y
_atom_site_fract_z
Al1 Al 0.0000 0.0000 0.1209
Bi1 Bi 0.0000 0.0000 0.5000
Pt1 Pt 0.0000 0.5000 0.2500
```

Computed properties:
* calculated volume: 19.1 A^3/atom
* total moment: 0.00 μB/f.u.
* formation energy: -0.4902 eV/atom
* E above lowest polymorph: 109 meV per atom
* DOS at the Fermi energy: 1.59 states/eV/f.u.


# 7
Computed, not measured: a geometry-optimized AlBiPt2 structure at the PBE level of DFT.

The structure in CIF format:
```
data_AlBiPt2
_chemical_formula_sum 'Al4 Bi4 Pt8'
_space_group_name_H-M_alt 'F m -3 m'
_space_group_IT_number 225
_space_group_name_Hall '-F 4 2 3'
_cell_length_a 6.6841
_cell_length_b 6.6841
_cell_length_c 6.6841
_cell_angle_alpha 90.00
_cell_angle_beta 90.00
_cell_angle_gamma 90.00
loop_
_atom_site_label
_atom_site_type_symbol
_atom_site_fract_x
_atom_site_fract_y
_atom_site_fract_z
Al1 Al 0.0000 0.0000 0.0000
Bi1 Bi 0.0000 0.0000 0.5000
Pt1 Pt 0.2500 0.2500 0.2500
```

Computed properties:
* calculated volume: 18.7 A^3/atom
* total moment: 0.00 μB/f.u.
* formation energy: -0.2120 eV/atom
* E above lowest polymorph: 327 meV per atom
* DOS at the Fermi energy: 2.54 states/eV/f.u.


# 8
Computed, not measured: a geometry-optimized Al2BiPt2 structure at the PBE level of DFT.

The structure in CIF format:
```
data_Al2BiPt2
_chemical_formula_sum 'Al4 Bi2 Pt4'
_space_group_name_H-M_alt 'P 4/m b m'
_space_group_IT_number 127
_space_group_name_Hall '-P 4 2ab'
_cell_length_a 7.8613
_cell_length_b 7.8613
_cell_length_c 2.9085
_cell_angle_alpha 90.00
_cell_angle_beta 90.00
_cell_angle_gamma 90.00
loop_
_atom_site_label
_atom_site_type_symbol
_atom_site_fract_x
_atom_site_fract_y
_atom_site_fract_z
Al1 Al 0.1356 0.3644 0.0000
Bi1 Bi 0.0000 0.0000 0.0000
Pt1 Pt 0.1491 0.6491 0.5000
```

Computed properties:
* calculated volume: 18.0 A^3/atom
* total moment: 0.00 μB/f.u.
* formation energy: -0.4983 eV/atom
* E above lowest polymorph: 101 meV per atom
* DOS at the Fermi energy: 1.48 states/eV/f.u.


# 9
Computed, not measured: a geometry-optimized AlBiPt3 structure at the PBE level of DFT.

The structure in CIF format:
```
data_AlBiPt3
_chemical_formula_sum 'Al1 Bi1 Pt3'
_space_group_name_H-M_alt 'P m -3 m'
_space_group_IT_number 221
_space_group_name_Hall '-P 4 2 3'
_cell_length_a 4.6646
_cell_length_b 4.6646
_cell_length_c 4.6646
_cell_angle_alpha 90.00
_cell_angle_beta 90.00
_cell_angle_gamma 90.00
loop_
_atom_site_label
_atom_site_type_symbol
_atom_site_fract_x
_atom_site_fract_y
_atom_site_fract_z
Al1 Al 0.0000 0.0000 0.0000
Bi1 Bi 0.5000 0.5000 0.5000
Pt1 Pt 0.0000 0.0000 0.5000
```

Computed properties:
* calculated volume: 20.3 A^3/atom
* total moment: 0.00 μB/f.u.
* formation energy: 0.0381 eV/atom
* E above lowest polymorph: 0 meV per atom
* DOS at the Fermi energy: 1.62 states/eV/f.u.


# 10
Computed, not measured: a geometry-optimized AlBi2Pt structure at the PBE level of DFT.

The structure in CIF format:
```
data_AlBi2Pt
_chemical_formula_sum 'Al4 Bi8 Pt4'
_space_group_name_H-M_alt 'I -4 2 d'
_space_group_IT_number 122
_space_group_name_Hall 'I -4 2bw'
_cell_length_a 6.0246
_cell_length_b 6.0246
_cell_length_c 14.1181
_cell_angle_alpha 90.00
_cell_angle_beta 90.00
_cell_angle_gamma 90.00
loop_
_atom_site_label
_atom_site_type_symbol
_atom_site_fract_x
_atom_site_fract_y
_atom_site_fract_z
Al1 Al 0.0000 0.0000 0.0000
Bi1 Bi 0.2275 0.2500 0.6250
Pt1 Pt 0.0000 0.0000 0.5000
```

Computed properties:
* calculated volume: 32.0 A^3/atom
* total moment: 0.00 μB/f.u.
* formation energy: 0.1674 eV/atom
* DOS at the Fermi energy: 2.42 states/eV/f.u.


Which of these has the lowest calculated volume?
number 5


What is the formation energy in the second record?
-0.2412 eV/atom